Entry 1:
Entry from Alexandria via LeMat-Bulk: Na2Sr2Y after structural relaxation (PBE).

abc: 9.695 9.695 4.407
angles: 90.00 90.00 90.00
Space group P4/mbm (No. 127)
Inequivalent atoms, fractional coordinates:
Na1 0.120 0.380 0.000 x4
Sr1 0.183 0.683 0.500 x4
Y1 0.000 0.000 0.000 x2

E   -2.254 eV per atom
Energy of formation from the pure elements   116 kJ/mol of formula units
Polymorph energy (0 for the lowest one)   0 meV/atom

Entry 2:
Entry from Alexandria via LeMat-Bulk: NaSr2Y after structural relaxation (PBE).

abc: 9.580 9.580 7.508
angles: 90.00 90.00 90.00
Space group I-42d (No. 122)
Inequivalent atoms, fractional coordinates:
Na1 0.000 0.000 0.000 x4
Sr1 0.222 0.250 0.125 x8
Y1 0.000 0.000 0.500 x4

E   -2.350 eV per atom
Energy of formation from the pure elements   169 kJ/mol of formula units
Polymorph energy (0 for the lowest one)   306 meV/atom

Entry 3:
Entry from Alexandria via LeMat-Bulk: NaSr2Y after structural relaxation (PBE).

abc: 3.8086 3.8086 41.4383
angles: 90.00 90.00 120.00
Space group R-3m (No. 166, hexagonal axes)
Inequivalent atoms, fractional coordinates:
Na1 0.0000 0.0000 0.0000 x3
Sr1 0.0000 0.0000 0.4145 x6
Y1 0.0000 0.0000 0.5000 x3

E   -2.468 eV per atom
Energy of formation from the pure elements   123 kJ/mol of formula units
Polymorph energy (0 for the lowest one)   188 meV/atom

Entry 4:
Entry from Alexandria via LeMat-Bulk: NaSr2Y after structural relaxation (PBE).

abc: 3.9699 3.9699 38.4361
angles: 90.00 90.00 120.00
Space group R3m (No. 160, hexagonal axes)
Inequivalent atoms, fractional coordinates:
Na1 0.0000 0.0000 0.0000 x3
Sr1 0.0000 0.0000 0.4204 x3
Sr2 0.0000 0.0000 0.5797 x3
Y1 0.0000 0.0000 0.8335 x3

E   -2.644 eV per atom
Energy of formation from the pure elements   55 kJ/mol of formula units
Polymorph energy (0 for the lowest one)   12 meV/atom

> What is the formula in the second record?

NaSr2Y

> Among the records above, which one has the highest polymorph energy (0 for the lowest one)?

number 2

> Which value of energy of formation from the pure elements does entry 2 give?

169 kJ/mol of formula units